Computed, not measured: a relaxed Ga2SiMoW crystal at the GGA-PBE level of DFT.

Lattice parameters (Å, degrees): 4.881 4.755 4.881 90.00 90.00 90.00
Atoms (fractional coordinates):
W 0.000 0.500 0.000
Ga 0.500 0.000 0.000
Ga 0.000 0.000 0.500
Si 0.500 0.500 0.500
Mo 0.000 0.000 0.000

Properties
**SG**: P4/mmm (123)
**E_form (uncorrected)**: 1.368 eV/atom
**Total energy**: -5.684 eV/atom

Computed, not measured: a relaxed YGa2SiMo crystal at the GGA-PBE level of DFT.

Lattice parameters (Å, degrees): 4.718 4.673 4.718 90.00 90.00 90.00
Atoms (fractional coordinates):
Ga 0.500 0.000 0.000
Ga 0.000 0.000 0.500
Si 0.000 0.000 0.000
Y 0.500 0.500 0.500
Mo 0.000 0.500 0.000

Properties
**SG**: P4/mmm (123)
**E_form (uncorrected)**: 0.355 eV/atom
**Total energy**: -5.399 eV/atom

Computed, not measured: a relaxed SmGa2Mo crystal at the GGA-PBE level of DFT.

Lattice parameters (Å, degrees): 3.078 3.078 9.689 80.86 80.86 60.00
Atoms (fractional coordinates):
Ga 0.740 0.740 0.780
Ga 0.260 0.260 0.220
Sm 0.500 0.500 0.500
Mo 0.000 0.000 0.000

Properties
**SG**: R-3m (166)
**Total energy**: -5.341 eV/atom
**Formation energy from the elements**: 0.060 eV/atom